Entry 1:
Density functional theory data (PBE) for an optimized crystal structure of Na2TiAu2.

abc: 6.9155 6.9155 4.7418
angles: 90.00 90.00 90.00
Last column: nearest neighbours and their distance in Å.
Fractional positions:
Na (0.1658, 0.3342, 0.0000)  6 Au 3.03-3.19, 1 Na 3.24
Na (0.3342, 0.8342, 0.0000)  6 Au 3.03-3.19, 1 Na 3.24
Na (0.6658, 0.1658, 0.0000)  6 Au 3.03-3.19, 1 Na 3.24
Na (0.8342, 0.6658, 0.0000)  6 Au 3.03-3.19, 1 Na 3.24
Ti (0.0000, 0.0000, 0.5000)  4 Au 2.67
Ti (0.5000, 0.5000, 0.5000)  4 Au 2.67
Au (0.1412, 0.6412, 0.5000)  2 Ti 2.67, 1 Au 2.76
Au (0.3588, 0.1412, 0.5000)  2 Ti 2.67, 1 Au 2.76
Au (0.6412, 0.8588, 0.5000)  2 Ti 2.67, 1 Au 2.76
Au (0.8588, 0.3588, 0.5000)  2 Ti 2.67, 1 Au 2.76

Calculated values
- DOS(E_F): 2.4 states/eV/f.u.
- E_form: -0.03 eV per atom
- Symmetry: P4/mbm
- Total magnetization: 1.96 μB per formula unit
- VASP energy: -3.451 eV/atom

***

Entry 2:
Density functional theory data (PBE) for an optimized crystal structure of NaTiAu3.

abc: 5.0776 5.0776 5.0776
angles: 90.00 90.00 90.00
Last column: nearest neighbours and their distance in Å.
Fractional positions:
Na (0.0000, 0.0000, 0.0000)  12 Au 3.59
Ti (0.5000, 0.5000, 0.5000)  6 Au 2.54
Au (0.0000, 0.5000, 0.5000)  2 Ti 2.54
Au (0.5000, 0.0000, 0.5000)  2 Ti 2.54
Au (0.5000, 0.5000, 0.0000)  2 Ti 2.54

Calculated values
- DOS(E_F): 3.0 states/eV/f.u.
- E_form: 0.18 eV per atom
- Symmetry: Pm-3m
- Total magnetization: 1.03 μB per formula unit
- Energy relative to the lowest polymorph listed for this composition: 0.0 meV per atom
- VASP energy: -3.625 eV/atom

***

Entry 3:
Density functional theory data (PBE) for an optimized crystal structure of NaTi2Au.

abc: 10.6386 10.6386 10.6386
angles: 159.00 159.00 29.87
Last column: nearest neighbours and their distance in Å.
Fractional positions:
Na (0.0000, 0.0000, 0.0000)  4 Au 2.74, 4 Ti 2.94
Na (0.7500, 0.2500, 0.5000)  4 Au 2.74, 4 Ti 2.94
Ti (0.1441, 0.6250, 0.0191)  4 Ti 2.64-2.85, 2 Au 2.89, 2 Na 2.94
Ti (0.3750, 0.3941, 0.5191)  4 Ti 2.64-2.85, 2 Au 2.89, 2 Na 2.94
Ti (0.6059, 0.1250, 0.9809)  4 Ti 2.64-2.85, 2 Au 2.89, 2 Na 2.94
Ti (0.8750, 0.8559, 0.4809)  4 Ti 2.64-2.85, 2 Au 2.89, 2 Na 2.94
Au (0.2500, 0.7500, 0.5000)  4 Na 2.74, 4 Ti 2.89
Au (0.5000, 0.5000, 0.0000)  4 Na 2.74, 4 Ti 2.89

Calculated values
- DOS(E_F): 6.0 states/eV/f.u.
- E_form: 0.43 eV per atom
- Symmetry: I-42d
- Total magnetization: 0.00 μB per formula unit
- Energy relative to the lowest polymorph listed for this composition: 152.3 meV per atom
- VASP energy: -4.669 eV/atom

***

Entry 4:
Density functional theory data (PBE) for an optimized crystal structure of NaTi2Au2.

abc: 5.8491 5.8491 5.8491
angles: 131.14 131.14 71.59
Last column: nearest neighbours and their distance in Å.
Fractional positions:
Na (0.0000, 0.0000, 0.0000)  8 Au 3.39, 10 Ti 3.44-3.66
Ti (0.3625, 0.3625, 0.0000)  1 Ti 2.61, 4 Au 2.64
Ti (0.6375, 0.6375, 0.0000)  1 Ti 2.61, 4 Au 2.64
Au (0.2500, 0.7500, 0.5000)  4 Ti 2.64
Au (0.7500, 0.2500, 0.5000)  4 Ti 2.64

Calculated values
- DOS(E_F): 5.8 states/eV/f.u.
- E_form: 0.15 eV per atom
- Symmetry: I4/mmm
- Total magnetization: 2.18 μB per formula unit
- Energy relative to the lowest polymorph listed for this composition: 334.9 meV per atom
- VASP energy: -4.579 eV/atom

***

Entry 5:
Density functional theory data (PBE) for an optimized crystal structure of NaY2TiAu.

abc: 5.6340 5.6340 5.0694
angles: 90.00 90.00 90.00
Last column: nearest neighbours and their distance in Å.
Fractional positions:
Na (0.0000, 0.0000, 0.0000)  8 Y 3.79, 4 Ti 3.98
Y (0.0000, 0.5000, 0.5000)  2 Au 2.82
Y (0.5000, 0.0000, 0.5000)  2 Au 2.82
Ti (0.5000, 0.5000, 0.0000)  2 Au 2.53
Au (0.5000, 0.5000, 0.5000)  2 Ti 2.53, 4 Y 2.82

Calculated values
- DOS(E_F): 8.4 states/eV/f.u.
- E_form: 0.24 eV per atom
- Symmetry: P4/mmm
- Total magnetization: 2.30 μB per formula unit
- VASP energy: -4.845 eV/atom

***

Entry 6:
Density functional theory data (PBE) for an optimized crystal structure of Na2TiZnAu.

abc: 5.3484 5.3484 5.1467
angles: 90.00 90.00 90.00
Last column: nearest neighbours and their distance in Å.
Fractional positions:
Na (0.0000, 0.5000, 0.0000)  2 Au 2.67
Na (0.5000, 0.0000, 0.0000)  2 Au 2.67
Ti (0.0000, 0.0000, 0.5000)  2 Au 2.57
Zn (0.5000, 0.5000, 0.5000)  8 Na 3.71, 4 Ti 3.78
Au (0.0000, 0.0000, 0.0000)  2 Ti 2.57, 4 Na 2.67

Calculated values
- DOS(E_F): 4.2 states/eV/f.u.
- E_form: 0.48 eV per atom
- Symmetry: P4/mmm
- Total magnetization: 1.89 μB per formula unit
- VASP energy: -2.532 eV/atom

***

Entry 7:
Density functional theory data (PBE) for an optimized crystal structure of Na5Tl5Au2.

abc: 7.9167 7.9167 9.9804
angles: 119.84 119.84 36.90
Last column: nearest neighbours and their distance in Å.
Fractional positions:
Na (0.0000, 0.0000, 0.0000)  2 Na 3.21, 6 Tl 3.23-3.25, 4 Au 3.29
Na (0.1048, 0.1048, 0.7909)  3 Au 3.14-3.22, 2 Na 3.21-3.41, 3 Tl 3.26-3.44
Na (0.1667, 0.1667, 0.5070)  7 Tl 3.29-3.57, 4 Na 3.41-3.59
Na (0.8333, 0.8333, 0.4930)  7 Tl 3.29-3.57, 4 Na 3.41-3.59
Na (0.8952, 0.8952, 0.2091)  3 Au 3.14-3.22, 2 Na 3.21-3.41, 3 Tl 3.26-3.44
Tl (0.2524, 0.2524, 0.1957)  3 Au 3.05-3.11, 3 Na 3.23-3.26, 1 Tl 3.35
Tl (0.4208, 0.4208, 0.7560)  2 Au 2.94-3.02, 3 Na 3.25-3.29
Tl (0.5000, 0.5000, 0.5000)  4 Tl 3.34-3.35, 8 Na 3.52
Tl (0.5792, 0.5792, 0.2440)  2 Au 2.94-3.02, 3 Na 3.25-3.29
Tl (0.7476, 0.7476, 0.8043)  3 Au 3.05-3.11, 3 Na 3.23-3.26, 1 Tl 3.35
Au (0.3564, 0.3564, 0.9960)  5 Tl 2.94-3.11, 3 Na 3.14-3.22
Au (0.6436, 0.6436, 0.0040)  5 Tl 2.94-3.11, 3 Na 3.14-3.22

Calculated values
- DOS(E_F): 5.2 states/eV/f.u.
- E_form: -0.16 eV per atom
- Symmetry: C2/m
- Total magnetization: 0.00 μB per formula unit
- VASP energy: -2.239 eV/atom

***

Entry 8:
Density functional theory data (PBE) for an optimized crystal structure of Na3Tl2Au4.

abc: 6.0592 6.0592 8.0712
angles: 95.62 95.62 47.81
Last column: nearest neighbours and their distance in Å.
Fractional positions:
Na (0.0000, 0.0000, 0.0000)  2 Au 3.03
Na (0.4406, 0.4406, 0.6680)  5 Au 2.99-3.30, 1 Na 3.14, 2 Tl 3.28
Na (0.5594, 0.5594, 0.3320)  5 Au 2.99-3.30, 1 Na 3.14, 2 Tl 3.28
Tl (0.2515, 0.2515, 0.2962)  6 Au 2.98-3.12, 2 Na 3.28
Tl (0.7485, 0.7485, 0.7038)  6 Au 2.98-3.12, 2 Na 3.28
Au (0.1053, 0.1053, 0.6054)  2 Au 2.74-2.90, 2 Tl 2.98
Au (0.2605, 0.2605, 0.9186)  3 Au 2.81-2.90, 2 Na 2.99-3.03, 3 Tl 3.00-3.06
Au (0.7395, 0.7395, 0.0814)  3 Au 2.81-2.90, 2 Na 2.99-3.03, 3 Tl 3.00-3.06
Au (0.8947, 0.8947, 0.3946)  2 Au 2.74-2.90, 2 Tl 2.98

Calculated values
- DOS(E_F): 3.2 states/eV/f.u.
- E_form: -0.20 eV per atom
- Symmetry: C2/m
- Total magnetization: 0.00 μB per formula unit
- VASP energy: -2.626 eV/atom

***

Entry 9:
Density functional theory data (PBE) for an optimized crystal structure of NaTlAu2.

abc: 8.1585 8.1585 8.1585
angles: 131.27 131.27 71.39
Last column: nearest neighbours and their distance in Å.
Fractional positions:
Na (0.0000, 0.0000, 0.0000)  4 Au 2.95
Na (0.7500, 0.2500, 0.5000)  4 Au 2.95
Tl (0.2500, 0.7500, 0.5000)  4 Au 2.85
Tl (0.5000, 0.5000, 0.0000)  4 Au 2.85
Au (0.1368, 0.6250, 0.0118)  2 Tl 2.85, 2 Na 2.95
Au (0.3750, 0.3868, 0.5118)  2 Tl 2.85, 2 Na 2.95
Au (0.6132, 0.1250, 0.9882)  2 Tl 2.85, 2 Na 2.95
Au (0.8750, 0.8632, 0.4882)  2 Tl 2.85, 2 Na 2.95

Calculated values
- DOS(E_F): 0.0 states/eV/f.u.
- E_form: 0.10 eV per atom
- Symmetry: I-42d
- Total magnetization: 0.00 μB per formula unit
- VASP energy: -2.465 eV/atom

***

Entry 10:
Density functional theory data (PBE) for an optimized crystal structure of Na2Tl2Au.

abc: 7.5232 7.5232 4.9840
angles: 90.00 90.00 90.00
Last column: nearest neighbours and their distance in Å.
Fractional positions:
Na (0.1698, 0.3302, 0.0000)  6 Tl 3.19-3.43
Na (0.3302, 0.8302, 0.0000)  6 Tl 3.19-3.43
Na (0.6698, 0.1698, 0.0000)  6 Tl 3.19-3.43
Na (0.8302, 0.6698, 0.0000)  6 Tl 3.19-3.43
Tl (0.1429, 0.6429, 0.5000)  2 Au 2.89, 1 Tl 3.04, 2 Na 3.19
Tl (0.3571, 0.1429, 0.5000)  2 Au 2.89, 1 Tl 3.04, 2 Na 3.19
Tl (0.6429, 0.8571, 0.5000)  2 Au 2.89, 1 Tl 3.04, 2 Na 3.19
Tl (0.8571, 0.3571, 0.5000)  2 Au 2.89, 1 Tl 3.04, 2 Na 3.19
Au (0.0000, 0.0000, 0.5000)  4 Tl 2.89
Au (0.5000, 0.5000, 0.5000)  4 Tl 2.89

Calculated values
- DOS(E_F): 2.3 states/eV/f.u.
- E_form: -0.10 eV per atom
- Symmetry: P4/mbm
- Total magnetization: 0.00 μB per formula unit
- Energy relative to the lowest polymorph listed for this composition: 61.7 meV per atom
- VASP energy: -2.225 eV/atom

***

Entry 11:
Density functional theory data (PBE) for an optimized crystal structure of Na2TlAu2.

abc: 7.7065 7.7065 4.0985
angles: 90.00 90.00 90.00
Last column: nearest neighbours and their distance in Å.
Fractional positions:
Na (0.1647, 0.3353, 0.0000)  6 Au 3.02-3.08
Na (0.3353, 0.8353, 0.0000)  6 Au 3.02-3.08
Na (0.6647, 0.1647, 0.0000)  6 Au 3.02-3.08
Na (0.8353, 0.6647, 0.0000)  6 Au 3.02-3.08
Tl (0.0000, 0.0000, 0.5000)  4 Au 3.01
Tl (0.5000, 0.5000, 0.5000)  4 Au 3.01
Au (0.1316, 0.6316, 0.5000)  1 Au 2.87, 2 Tl 3.01, 6 Na 3.02-3.08
Au (0.3684, 0.1316, 0.5000)  1 Au 2.87, 2 Tl 3.01, 6 Na 3.02-3.08
Au (0.6316, 0.8684, 0.5000)  1 Au 2.87, 2 Tl 3.01, 6 Na 3.02-3.08
Au (0.8684, 0.3684, 0.5000)  1 Au 2.87, 2 Tl 3.01, 6 Na 3.02-3.08

Calculated values
- DOS(E_F): 1.3 states/eV/f.u.
- E_form: -0.26 eV per atom
- Symmetry: P4/mbm
- Total magnetization: 0.00 μB per formula unit
- Energy relative to the lowest polymorph listed for this composition: 2.1 meV per atom
- VASP energy: -2.568 eV/atom

***

Entry 12:
Density functional theory data (PBE) for an optimized crystal structure of Na4Tl5Au.

abc: 7.4845 7.4845 7.4845
angles: 101.66 101.66 126.57
Last column: nearest neighbours and their distance in Å.
Fractional positions:
Na (0.0602, 0.3015, 0.3617)  6 Tl 3.20-3.56, 1 Au 3.24
Na (0.3015, 0.9398, 0.2413)  6 Tl 3.20-3.56, 1 Au 3.24
Na (0.6985, 0.0602, 0.7587)  6 Tl 3.20-3.56, 1 Au 3.24
Na (0.9398, 0.6985, 0.6383)  6 Tl 3.20-3.56, 1 Au 3.24
Tl (0.2096, 0.2096, 0.0000)  1 Au 2.83
Tl (0.2812, 0.6128, 0.8530)  1 Au 3.02, 4 Na 3.20-3.34, 1 Tl 3.20
Tl (0.4282, 0.2812, 0.6684)  1 Au 3.02, 4 Na 3.20-3.34, 1 Tl 3.20
Tl (0.6128, 0.7599, 0.3316)  1 Au 3.02, 4 Na 3.20-3.34, 1 Tl 3.20
Tl (0.7599, 0.4282, 0.1470)  1 Au 3.02, 4 Na 3.20-3.34, 1 Tl 3.20
Au (0.7885, 0.7885, 0.0000)  5 Tl 2.83-3.02

Calculated values
- DOS(E_F): 4.6 states/eV/f.u.
- E_form: -0.08 eV per atom
- Symmetry: I4
- Total magnetization: 0.00 μB per formula unit
- VASP energy: -2.116 eV/atom

***

Q: Look up the DOS(E_F) of the sixth one.
A: 4.2 states/eV/f.u.